1.
! PBE-GGA CrRe2Sb, optimized geometry; values from VASP
&SYSTEM
  ibrav = 0, nat = 4, ntyp = 3
/
ATOMIC_SPECIES
Cr 52.00 Cr.upf
Re 186.21 Re.upf
Sb 121.76 Sb.upf
CELL_PARAMETERS angstrom
-2.3625 -3.1970 2.0288
3.5982 -1.1510 2.3763
-0.8295 2.0358 2.2421
ATOMIC_POSITIONS crystal
Cr 0.0000 0.5000 0.5000
Re 0.0000 0.0000 0.0000
Re 0.5000 0.5000 0.0000
Sb 0.5000 0.0000 0.5000
! - E_form (uncorrected) (eV/atom) = 0.4834
! - crystal system = tetragonal
! - symmetry = P4/mmm, No. 123



2.
! PBE-GGA CrRe2Sb, optimized geometry; values from VASP
&SYSTEM
  ibrav = 0, nat = 4, ntyp = 3
/
ATOMIC_SPECIES
Re 186.21 Re.upf
Sb 121.76 Sb.upf
Cr 52.00 Cr.upf
CELL_PARAMETERS angstrom
5.1875 0.0009 0.0010
2.3855 4.6065 -0.0010
-3.3603 -3.0042 2.5677
ATOMIC_POSITIONS crystal
Re 0.0052 0.0052 0.0000
Sb 0.4934 0.4934 0.0000
Cr 0.2562 0.7562 0.5000
Re 0.7452 0.2452 0.5000
! - E_form (uncorrected) (eV/atom) = 0.4782
! - crystal system = orthorhombic
! - symmetry = Imm2, No. 44



3.
! PBE-GGA CrRe2Sb, optimized geometry; values from VASP
&SYSTEM
  ibrav = 0, nat = 4, ntyp = 3
/
ATOMIC_SPECIES
Re 186.21 Re.upf
Cr 52.00 Cr.upf
Sb 121.76 Sb.upf
CELL_PARAMETERS angstrom
4.7986 -0.0092 -0.0014
3.8880 2.8124 -0.0014
0.9349 0.3017 4.6959
ATOMIC_POSITIONS crystal
Re 0.5173 0.5173 0.4680
Re 0.9827 0.9827 0.0320
Cr 0.2500 0.2500 0.2500
Sb 0.7500 0.7500 0.7500
! - E_form (uncorrected) (eV/atom) = 0.4047
! - crystal system = monoclinic
! - symmetry = C2/m, No. 12



4.
! PBE-GGA Cr4ReSb, optimized geometry; values from VASP
&SYSTEM
  ibrav = 0, nat = 6, ntyp = 3
/
ATOMIC_SPECIES
Cr 52.00 Cr.upf
Sb 121.76 Sb.upf
Re 186.21 Re.upf
CELL_PARAMETERS angstrom
-2.7000 -3.9266 -0.9138
0.0402 -3.7438 3.0863
-3.9061 -0.9448 2.7190
ATOMIC_POSITIONS crystal
Cr 0.6267 0.6267 0.6267
Cr 0.6267 0.6267 0.1198
Sb 0.0000 0.0000 0.0000
Cr 0.1198 0.6267 0.6267
Re 0.2500 0.2500 0.2500
Cr 0.6267 0.1198 0.6267
! - E_form (uncorrected) (eV/atom) = 0.2645
! - crystal system = cubic
! - symmetry = F-43m, No. 216



5.
! PBE-GGA CrReSb, optimized geometry; values from VASP
&SYSTEM
  ibrav = 0, nat = 3, ntyp = 3
/
ATOMIC_SPECIES
Cr 52.00 Cr.upf
Sb 121.76 Sb.upf
Re 186.21 Re.upf
CELL_PARAMETERS angstrom
4.8388 0.0805 -0.0380
2.3092 4.2530 0.0380
-3.2814 -2.6493 2.3739
ATOMIC_POSITIONS crystal
Cr 0.9903 0.9903 0.0000
Sb 0.6671 0.6671 0.0000
Re 0.3426 0.3426 0.0000
! - E_form (uncorrected) (eV/atom) = 0.5294
! - crystal system = orthorhombic
! - symmetry = Imm2, No. 44



6.
! PBE-GGA CrReSb, optimized geometry; values from VASP
&SYSTEM
  ibrav = 0, nat = 3, ntyp = 3
/
ATOMIC_SPECIES
Sb 121.76 Sb.upf
Re 186.21 Re.upf
Cr 52.00 Cr.upf
CELL_PARAMETERS angstrom
-2.5470 -2.3393 -4.7284
-3.4043 -4.0912 -2.4473
-2.7370 1.2281 -0.0857
ATOMIC_POSITIONS crystal
Sb 0.3391 0.3391 0.6609
Re 0.6435 0.6435 0.3565
Cr 0.0174 0.0174 0.9826
! - E_form (uncorrected) (eV/atom) = 0.4808
! - crystal system = tetragonal
! - symmetry = I4mm, No. 107



7.
! PBE-GGA CrRe2Sb, optimized geometry; values from VASP
&SYSTEM
  ibrav = 0, nat = 4, ntyp = 3
/
ATOMIC_SPECIES
Sb 121.76 Sb.upf
Re 186.21 Re.upf
Cr 52.00 Cr.upf
CELL_PARAMETERS angstrom
-1.6670 -1.2355 1.8737
2.3936 -1.3759 -0.4403
4.0287 4.8403 6.7761
ATOMIC_POSITIONS crystal
Sb 0.5000 0.5000 0.2500
Re 0.0000 0.0000 0.5380
Cr 0.5000 0.5000 0.7500
Re 0.0000 0.0000 0.9620
! - E_form (uncorrected) (eV/atom) = 0.7086
! - crystal system = orthorhombic
! - symmetry = Cmmm, No. 65



8.
! PBE-GGA SrCrRe2Sb, optimized geometry; values from VASP
&SYSTEM
  ibrav = 0, nat = 5, ntyp = 4
/
ATOMIC_SPECIES
Cr 52.00 Cr.upf
Sb 121.76 Sb.upf
Re 186.21 Re.upf
Sr 87.62 Sr.upf
CELL_PARAMETERS angstrom
-0.8807 4.6844 1.1612
1.0923 -1.1360 5.4110
4.7315 1.0706 -0.7304
ATOMIC_POSITIONS crystal
Cr 0.5000 0.5000 0.5000
Sb 0.0000 0.0000 0.0000
Re 0.0000 0.0000 0.5000
Re 0.5000 0.0000 0.0000
Sr 0.0000 0.5000 0.0000
! - E_form (uncorrected) (eV/atom) = 2.4228
! - crystal system = tetragonal
! - symmetry = P4/mmm, No. 123



9.
! PBE-GGA ScCr2Re, optimized geometry; values from VASP
&SYSTEM
  ibrav = 0, nat = 4, ntyp = 3
/
ATOMIC_SPECIES
Cr 52.00 Cr.upf
Sc 44.96 Sc.upf
Re 186.21 Re.upf
CELL_PARAMETERS angstrom
8.8326 0.0384 0.0226
8.3727 2.8133 0.0226
8.3727 1.3877 2.4473
ATOMIC_POSITIONS crystal
Cr 0.5054 0.5054 0.5054
Sc 0.7500 0.7500 0.7500
Cr 0.9946 0.9946 0.9946
Re 0.2500 0.2500 0.2500
! - crystal system = trigonal
! - formation energy from the elements (eV per atom) = 0.4498
! - symmetry = R-3m, No. 166



10.
! PBE-GGA ScCrRe, optimized geometry; values from VASP
&SYSTEM
  ibrav = 0, nat = 3, ntyp = 3
/
ATOMIC_SPECIES
Re 186.21 Re.upf
Cr 52.00 Cr.upf
Sc 44.96 Sc.upf
CELL_PARAMETERS angstrom
-2.2317 -4.4246 -2.2849
1.5554 -5.2193 -0.3450
-0.6998 4.3904 3.1645
ATOMIC_POSITIONS crystal
Re 0.3532 0.3532 0.0000
Cr 0.9820 0.9820 0.0000
Sc 0.6647 0.6647 0.0000
! - crystal system = tetragonal
! - formation energy from the elements (eV per atom) = -0.0231
! - symmetry = I4mm, No. 107



11.
! PBE-GGA ScCr2Re, optimized geometry; values from VASP
&SYSTEM
  ibrav = 0, nat = 4, ntyp = 3
/
ATOMIC_SPECIES
Sc 44.96 Sc.upf
Cr 52.00 Cr.upf
Re 186.21 Re.upf
CELL_PARAMETERS angstrom
5.0770 0.0029 0.0058
4.1764 2.8869 0.0058
1.9073 0.5956 3.9300
ATOMIC_POSITIONS crystal
Sc 0.2530 0.2530 0.2470
Cr 0.7445 0.7445 0.7555
Re 0.4832 0.4832 0.5167
Cr 0.0192 0.0192 0.9808
! - crystal system = orthorhombic
! - formation energy from the elements (eV per atom) = 0.1192
! - symmetry = Imm2, No. 44



12.
! PBE-GGA ScCrRe2, optimized geometry; values from VASP
&SYSTEM
  ibrav = 0, nat = 4, ntyp = 3
/
ATOMIC_SPECIES
Cr 52.00 Cr.upf
Re 186.21 Re.upf
Sc 44.96 Sc.upf
CELL_PARAMETERS angstrom
2.7206 -0.0037 0.0000
-0.9456 2.5510 0.0000
0.0000 0.0000 8.7649
ATOMIC_POSITIONS crystal
Cr 0.5000 0.5000 0.7500
Re 0.0000 0.0000 0.5215
Sc 0.5000 0.5000 0.2500
Re 0.0000 0.0000 0.9785
! - crystal system = orthorhombic
! - formation energy from the elements (eV per atom) = 0.0915
! - symmetry = Cmmm, No. 65



13.
! PBE-GGA ScCrRe, optimized geometry; values from VASP
&SYSTEM
  ibrav = 0, nat = 3, ntyp = 3
/
ATOMIC_SPECIES
Re 186.21 Re.upf
Cr 52.00 Cr.upf
Sc 44.96 Sc.upf
CELL_PARAMETERS angstrom
4.1897 0.0000 0.0000
2.0948 3.6284 0.0000
2.0948 1.2095 3.4209
ATOMIC_POSITIONS crystal
Re 0.0000 0.0000 0.0000
Cr 0.2500 0.2500 0.2500
Sc 0.5000 0.5000 0.5000
! - crystal system = cubic
! - formation energy from the elements (eV per atom) = 0.4857
! - symmetry = F-43m, No. 216



14.
! PBE-GGA ScCr2Re, optimized geometry; values from VASP
&SYSTEM
  ibrav = 0, nat = 4, ntyp = 3
/
ATOMIC_SPECIES
Sc 44.96 Sc.upf
Re 186.21 Re.upf
Cr 52.00 Cr.upf
CELL_PARAMETERS angstrom
-8.5789 1.0774 0.3420
-8.4590 -1.7540 0.4944
-8.1692 -0.1929 2.8466
ATOMIC_POSITIONS crystal
Sc 0.7465 0.7465 0.7465
Re 0.5089 0.5089 0.5089
Cr 0.9884 0.9884 0.9884
Cr 0.2562 0.2562 0.2562
! - crystal system = trigonal
! - formation energy from the elements (eV per atom) = 0.3594
! - symmetry = R3m, No. 160



15.
! PBE-GGA ScCrRe2, optimized geometry; values from VASP
&SYSTEM
  ibrav = 0, nat = 4, ntyp = 3
/
ATOMIC_SPECIES
Re 186.21 Re.upf
Cr 52.00 Cr.upf
Sc 44.96 Sc.upf
CELL_PARAMETERS angstrom
4.3566 0.0000 0.0000
0.0000 2.7461 -0.0045
0.0000 0.8676 5.0539
ATOMIC_POSITIONS crystal
Re 0.0000 0.5222 0.5061
Cr 0.5000 0.7500 0.7500
Re 0.0000 0.9778 0.9939
Sc 0.5000 0.2500 0.2500
! - crystal system = monoclinic
! - formation energy from the elements (eV per atom) = 0.0633
! - symmetry = P2/m, No. 10



16.
! PBE-GGA ScCrRe2, optimized geometry; values from VASP
&SYSTEM
  ibrav = 0, nat = 4, ntyp = 3
/
ATOMIC_SPECIES
Re 186.21 Re.upf
Cr 52.00 Cr.upf
Sc 44.96 Sc.upf
CELL_PARAMETERS angstrom
3.0837 0.0000 0.0000
0.0000 3.0837 0.0000
0.0000 0.0000 6.4853
ATOMIC_POSITIONS crystal
Re 0.0000 0.0000 0.9890
Re 0.5000 0.5000 0.2283
Cr 0.5000 0.5000 0.7743
Sc 0.0000 0.0000 0.5084
! - crystal system = tetragonal
! - formation energy from the elements (eV per atom) = 0.0393
! - symmetry = P4mm, No. 99



17.
! PBE-GGA ScCrRe, optimized geometry; values from VASP
&SYSTEM
  ibrav = 0, nat = 3, ntyp = 3
/
ATOMIC_SPECIES
Sc 44.96 Sc.upf
Re 186.21 Re.upf
Cr 52.00 Cr.upf
CELL_PARAMETERS angstrom
-0.1896 -2.8571 3.3206
2.8276 0.3244 3.3353
-1.4013 1.3107 3.9425
ATOMIC_POSITIONS crystal
Sc 0.2500 0.2500 0.2500
Re 0.5000 0.5000 0.5000
Cr 0.0000 0.0000 0.0000
! - crystal system = cubic
! - formation energy from the elements (eV per atom) = 1.3834
! - symmetry = F-43m, No. 216



18.
! PBE-GGA ScCrRe3, optimized geometry; values from VASP
&SYSTEM
  ibrav = 0, nat = 5, ntyp = 3
/
ATOMIC_SPECIES
Re 186.21 Re.upf
Sc 44.96 Sc.upf
Cr 52.00 Cr.upf
CELL_PARAMETERS angstrom
-1.2600 -0.6352 4.2889
-4.0061 -1.5374 -1.4046
1.6580 -4.1974 -0.1345
ATOMIC_POSITIONS crystal
Re 0.0000 0.0000 0.5000
Re 0.5000 0.0000 0.0000
Re 0.0000 0.5000 0.0000
Sc 0.0000 0.0000 0.0000
Cr 0.5000 0.5000 0.5000
! - crystal system = cubic
! - formation energy from the elements (eV per atom) = 2.6427
! - symmetry = Pm-3m, No. 221



19.
! PBE-GGA ScCr2Re, optimized geometry; values from VASP
&SYSTEM
  ibrav = 0, nat = 4, ntyp = 3
/
ATOMIC_SPECIES
Re 186.21 Re.upf
Cr 52.00 Cr.upf
Sc 44.96 Sc.upf
CELL_PARAMETERS angstrom
2.8948 0.0000 0.0000
0.0000 4.0174 0.0000
0.0000 0.0000 5.4309
ATOMIC_POSITIONS crystal
Re 0.5000 0.5000 0.2500
Cr 0.0000 0.0000 0.0656
Cr 0.0000 0.0000 0.4344
Sc 0.5000 0.5000 0.7500
! - crystal system = orthorhombic
! - formation energy from the elements (eV per atom) = 0.3612
! - symmetry = Pmmm, No. 47



20.
! PBE-GGA ScCr2Re, optimized geometry; values from VASP
&SYSTEM
  ibrav = 0, nat = 4, ntyp = 3
/
ATOMIC_SPECIES
Sc 44.96 Sc.upf
Cr 52.00 Cr.upf
Re 186.21 Re.upf
CELL_PARAMETERS angstrom
-3.8964 -0.6565 3.1848
-4.9765 -0.9409 0.3240
-1.1090 -4.1895 0.8352
ATOMIC_POSITIONS crystal
Sc 0.2500 0.2500 0.2500
Cr 0.4846 0.4846 0.5153
Cr 0.0154 0.0154 0.9847
Re 0.7500 0.7500 0.7500
! - crystal system = orthorhombic
! - formation energy from the elements (eV per atom) = 0.1820
! - symmetry = Immm, No. 71



21.
! PBE-GGA ScCr2Re, optimized geometry; values from VASP
&SYSTEM
  ibrav = 0, nat = 4, ntyp = 3
/
ATOMIC_SPECIES
Cr 52.00 Cr.upf
Re 186.21 Re.upf
Sc 44.96 Sc.upf
CELL_PARAMETERS angstrom
2.6999 0.0009 0.0000
-0.9380 2.5318 0.0000
0.0000 0.0000 8.6007
ATOMIC_POSITIONS crystal
Cr 0.0000 0.0000 0.0179
Re 0.5000 0.5000 0.2500
Cr 0.0000 0.0000 0.4821
Sc 0.5000 0.5000 0.7500
! - crystal system = orthorhombic
! - formation energy from the elements (eV per atom) = 0.2851
! - symmetry = Cmmm, No. 65



22.
! PBE-GGA ScCrRe2, optimized geometry; values from VASP
&SYSTEM
  ibrav = 0, nat = 4, ntyp = 3
/
ATOMIC_SPECIES
Cr 52.00 Cr.upf
Re 186.21 Re.upf
Sc 44.96 Sc.upf
CELL_PARAMETERS angstrom
5.1375 -0.0012 -0.0027
-2.3030 4.5924 -0.0027
0.5081 0.8230 2.5579
ATOMIC_POSITIONS crystal
Cr 0.0000 0.5000 0.5000
Re 0.5000 0.5000 0.0000
Re 0.0000 0.0000 0.0000
Sc 0.5000 0.0000 0.5000
! - crystal system = monoclinic
! - formation energy from the elements (eV per atom) = 0.0778
! - symmetry = C2/m, No. 12



23.
! PBE-GGA ScCr4Re, optimized geometry; values from VASP
&SYSTEM
  ibrav = 0, nat = 6, ntyp = 3
/
ATOMIC_SPECIES
Cr 52.00 Cr.upf
Re 186.21 Re.upf
Sc 44.96 Sc.upf
CELL_PARAMETERS angstrom
4.8637 0.0000 0.0000
2.4319 4.2121 0.0000
2.4319 1.4040 3.9712
ATOMIC_POSITIONS crystal
Cr 0.1267 0.6244 0.6244
Cr 0.6244 0.1267 0.6244
Re 0.2500 0.2500 0.2500
Cr 0.6244 0.6244 0.1267
Cr 0.6244 0.6244 0.6244
Sc 0.0000 0.0000 0.0000
! - crystal system = cubic
! - formation energy from the elements (eV per atom) = 0.0112
! - symmetry = F-43m, No. 216



24.
! PBE-GGA ScCr3Re, optimized geometry; values from VASP
&SYSTEM
  ibrav = 0, nat = 5, ntyp = 3
/
ATOMIC_SPECIES
Cr 52.00 Cr.upf
Re 186.21 Re.upf
Sc 44.96 Sc.upf
CELL_PARAMETERS angstrom
4.6256 0.0000 0.0000
0.0000 4.6256 0.0000
0.0000 0.0000 4.6256
ATOMIC_POSITIONS crystal
Cr 0.5000 0.0000 0.0000
Re 0.0000 0.0000 0.0000
Cr 0.0000 0.0000 0.5000
Cr 0.0000 0.5000 0.0000
Sc 0.5000 0.5000 0.5000
! - crystal system = cubic
! - formation energy from the elements (eV per atom) = 1.0437
! - symmetry = Pm-3m, No. 221



25.
! PBE-GGA ScCrRe, optimized geometry; values from VASP
&SYSTEM
  ibrav = 0, nat = 3, ntyp = 3
/
ATOMIC_SPECIES
Re 186.21 Re.upf
Cr 52.00 Cr.upf
Sc 44.96 Sc.upf
CELL_PARAMETERS angstrom
4.3589 0.0000 0.0000
-2.1794 3.7749 0.0000
0.0000 0.0000 2.8163
ATOMIC_POSITIONS crystal
Re 0.6667 0.3333 0.2879
Cr 0.0000 0.0000 0.0408
Sc 0.3333 0.6667 0.6713
! - crystal system = trigonal
! - formation energy from the elements (eV per atom) = 0.1064
! - symmetry = P3m1, No. 156



26.
! PBE-GGA ScCrRe, optimized geometry; values from VASP
&SYSTEM
  ibrav = 0, nat = 3, ntyp = 3
/
ATOMIC_SPECIES
Sc 44.96 Sc.upf
Re 186.21 Re.upf
Cr 52.00 Cr.upf
CELL_PARAMETERS angstrom
6.9648 -0.0009 0.0007
6.2171 2.6611 0.0101
0.7477 -0.8413 2.5256
ATOMIC_POSITIONS crystal
Sc 0.3358 0.3358 0.6642
Re 0.6543 0.6543 0.3457
Cr 0.0099 0.0099 0.9901
! - crystal system = orthorhombic
! - formation energy from the elements (eV per atom) = 0.2090
! - symmetry = Fmm2, No. 42



27.
! PBE-GGA ScCr2Re, optimized geometry; values from VASP
&SYSTEM
  ibrav = 0, nat = 4, ntyp = 3
/
ATOMIC_SPECIES
Sc 44.96 Sc.upf
Cr 52.00 Cr.upf
Re 186.21 Re.upf
CELL_PARAMETERS angstrom
4.3703 0.0000 0.0000
0.0000 4.3703 0.0000
0.0000 0.0000 3.0325
ATOMIC_POSITIONS crystal
Sc 0.0000 0.5000 0.5000
Cr 0.0000 0.0000 0.0000
Cr 0.5000 0.5000 0.0000
Re 0.5000 0.0000 0.5000
! - crystal system = tetragonal
! - formation energy from the elements (eV per atom) = 0.1722
! - symmetry = P4/mmm, No. 123



28.
! PBE-GGA ScCrRe2, optimized geometry; values from VASP
&SYSTEM
  ibrav = 0, nat = 4, ntyp = 3
/
ATOMIC_SPECIES
Sc 44.96 Sc.upf
Re 186.21 Re.upf
Cr 52.00 Cr.upf
CELL_PARAMETERS angstrom
5.1848 0.0005 -0.0061
4.2591 2.9566 -0.0061
1.8836 0.5898 3.9446
ATOMIC_POSITIONS crystal
Sc 0.4972 0.4972 0.5028
Re 0.0039 0.0039 0.9962
Re 0.2600 0.2600 0.2400
Cr 0.7388 0.7388 0.7610
! - crystal system = orthorhombic
! - formation energy from the elements (eV per atom) = 0.0216
! - symmetry = Imm2, No. 44



29.
! PBE-GGA ScCrRe2, optimized geometry; values from VASP
&SYSTEM
  ibrav = 0, nat = 4, ntyp = 3
/
ATOMIC_SPECIES
Re 186.21 Re.upf
Sc 44.96 Sc.upf
Cr 52.00 Cr.upf
CELL_PARAMETERS angstrom
4.1313 -1.4570 -0.0028
2.6063 0.7979 3.4294
1.1709 -3.2705 2.6689
ATOMIC_POSITIONS crystal
Re 0.2500 0.2500 0.2500
Re 0.7500 0.7500 0.7500
Sc 0.0000 0.0000 0.0000
Cr 0.5000 0.5000 0.5000
! - crystal system = cubic
! - formation energy from the elements (eV per atom) = 0.0785
! - symmetry = Fm-3m, No. 225



30.
! PBE-GGA Sc2CrRe3, optimized geometry; values from VASP
&SYSTEM
  ibrav = 0, nat = 6, ntyp = 3
/
ATOMIC_SPECIES
Re 186.21 Re.upf
Cr 52.00 Cr.upf
Sc 44.96 Sc.upf
CELL_PARAMETERS angstrom
2.0030 -4.8511 0.1751
2.3526 3.8993 2.6146
-4.4718 1.0805 2.3931
ATOMIC_POSITIONS crystal
Re 0.0000 0.0000 0.5000
Re 0.5000 0.0000 0.5000
Cr 0.0000 0.0000 0.0000
Re 0.5000 0.5000 0.5000
Sc 0.7500 0.3751 0.1251
Sc 0.2500 0.6249 0.8749
! - crystal system = monoclinic
! - formation energy from the elements (eV per atom) = -0.2718
! - symmetry = C2/m, No. 12



31.
! PBE-GGA ScCr2Re, optimized geometry; values from VASP
&SYSTEM
  ibrav = 0, nat = 4, ntyp = 3
/
ATOMIC_SPECIES
Cr 52.00 Cr.upf
Re 186.21 Re.upf
Sc 44.96 Sc.upf
CELL_PARAMETERS angstrom
4.2644 0.0000 0.0000
0.0000 2.7183 -0.0020
0.0000 0.9126 4.9648
ATOMIC_POSITIONS crystal
Cr 0.5000 0.2437 0.2505
Cr 0.0000 0.0245 0.0046
Re 0.0000 0.4784 0.4850
Sc 0.5000 0.7534 0.7598
! - crystal system = monoclinic
! - formation energy from the elements (eV per atom) = 0.1937
! - symmetry = Pm, No. 6